(1)
SrTiGaBi2 | PBE-GGA | relaxed

Cell lengths 5.517, 5.562, 5.517 Å; angles 90.00, 90.00, 90.00 degrees
Fractional coordinates of all 5 atoms:
Sr1 0.000 0.500 0.000
Bi1 0.000 0.000 0.500
Bi2 0.500 0.000 0.000
Ga1 0.000 0.000 0.000
Ti1 0.500 0.500 0.500

***

(2)
SrTlGaBi | PBE-GGA | relaxed

Cell lengths 5.553, 5.553, 5.553 Å; angles 60.00, 60.00, 60.00 degrees
Fractional coordinates of all 4 atoms:
Sr1 0.750 0.750 0.750
Tl1 0.000 0.000 0.000
Bi1 0.250 0.250 0.250
Ga1 0.500 0.500 0.500

***

(3)
SrVGaBi2 | PBE-GGA | relaxed

Cell lengths 5.508, 5.629, 5.508 Å; angles 90.00, 90.00, 90.00 degrees
Fractional coordinates of all 5 atoms:
Sr1 0.000 0.500 0.000
Bi1 0.000 0.000 0.500
Bi2 0.500 0.000 0.000
Ga1 0.000 0.000 0.000
V1 0.500 0.500 0.500

***

(4)
TaGaBi2 | PBE-GGA | relaxed

Cell lengths 3.204, 3.204, 11.926 Å; angles 82.28, 82.28, 60.00 degrees
Fractional coordinates of all 4 atoms:
Bi1 0.084 0.084 0.748
Bi2 0.916 0.916 0.252
Ga1 0.500 0.500 0.500
Ta1 0.000 0.000 0.000

***

Number 1: ρ 6.1 g/cm3, energy relative to the elements 0.69 eV per atom. Number 2: ρ 7.8 g/cm3, energy relative to the elements -0.25 eV per atom. Number 3: ρ 6.1 g/cm3, energy relative to the elements 0.92 eV per atom. Number 4: ρ 10.6 g/cm3, energy relative to the elements 0.64 eV per atom.